Record 1
The following is a PBE calculation of a geometry-optimized InHPd2Ru structure, from the Alexandria database.

a b c (Å): 4.043 4.043 4.078
angles (deg): 90.00 90.00 90.00
Element x y z (fractional)
In  0.000  0.000  0.000
H  0.500  0.500  0.500
Pd  0.000  0.500  0.500
Pd  0.500  0.000  0.500
Ru  0.500  0.500  0.000

* spin magnetization: 0.000 μB per cell
* raw total energy: -26.3 eV per formula unit

Record 2
The following is a PBE calculation of a geometry-optimized Tb5PrNd2Sc structure, from the Alexandria database.

a b c (Å): 10.335 10.335 10.505
angles (deg): 90.00 90.00 148.37
Element x y z (fractional)
Tb  0.017  0.983  0.500
Tb  0.126  0.874  0.778
Tb  0.204  0.796  0.463
Tb  0.223  0.777  0.082
Tb  0.483  0.517  0.778
Tb  0.517  0.483  0.278
Tb  0.777  0.223  0.582
Tb  0.796  0.204  0.963
Tb  0.874  0.126  0.278
Tb  0.983  0.017  0.000
Pr  0.088  0.912  0.218
Pr  0.912  0.088  0.718
Nd  0.385  0.615  0.493
Nd  0.387  0.613  0.074
Nd  0.613  0.387  0.574
Nd  0.615  0.385  0.993
Sc  0.303  0.697  0.773
Sc  0.697  0.303  0.273

* spin magnetization: 0.000 μB per cell
* energy of formation from the pure elements: 15 kJ/mol of atoms

Record 3
The following is a PBE calculation of a geometry-optimized DyHoSnAu structure, from the Alexandria database.

a b c (Å): 5.207 5.207 5.207
angles (deg): 60.00 60.00 60.00
Element x y z (fractional)
Dy  0.000  0.000  0.000
Ho  0.500  0.500  0.500
Sn  0.250  0.250  0.250
Au  0.750  0.750  0.750

* spin magnetization: 0.528 μB per cell
* energy of formation from the pure elements: -69 kJ/mol of atoms

Record 4
The following is a PBE calculation of a geometry-optimized AcLa2InCo structure, from the Alexandria database.

a b c (Å): 5.330 5.330 5.548
angles (deg): 90.00 90.00 90.00
Element x y z (fractional)
Ac  0.000  0.000  0.000
La  0.000  0.500  0.500
La  0.500  0.000  0.500
In  0.500  0.500  0.000
Co  0.000  0.000  0.500

* spin magnetization: 0.000 μB per cell
* energy of formation from the pure elements: -24 kJ/mol of atoms

Record 5
The following is a PBE calculation of a geometry-optimized Ac2SmTc structure, from the Alexandria database.

a b c (Å): 11.695 11.695 11.695
angles (deg): 18.04 18.04 18.04
Element x y z (fractional)
Ac  0.076  0.076  0.076
Ac  0.924  0.924  0.924
Sm  0.500  0.500  0.500
Tc  0.000  0.000  0.000

* spin magnetization: 0.000 μB per cell
* energy of formation from the pure elements: 79 kJ/mol of atoms

Record 6
The following is a PBE calculation of a geometry-optimized PmZrSbPd structure, from the Alexandria database.

a b c (Å): 5.092 5.092 5.092
angles (deg): 60.00 60.00 60.00
Element x y z (fractional)
Pm  0.000  0.000  0.000
Zr  0.500  0.500  0.500
Sb  0.750  0.750  0.750
Pd  0.250  0.250  0.250

* uncorrected formation energy: -0.57 eV per atom
* spin magnetization: 1.549 μB per cell

Record 7
The following is a PBE calculation of a geometry-optimized MgCd2Pt3 structure, from the Alexandria database.

a b c (Å): 3.009 3.009 11.244
angles (deg): 90.00 90.00 90.00
Element x y z (fractional)
Mg  0.000  0.000  0.000
Cd  0.000  0.000  0.328
Cd  0.000  0.000  0.672
Pt  0.500  0.500  0.154
Pt  0.500  0.500  0.500
Pt  0.500  0.500  0.846

* spin magnetization: 0.000 μB per cell
* energy of formation from the pure elements: -50 kJ/mol of atoms

Record 8
The following is a PBE calculation of a geometry-optimized ScInW2 structure, from the Alexandria database.

a b c (Å): 5.587 5.587 2.850
angles (deg): 100.46 100.46 118.84
Element x y z (fractional)
Sc  0.000  0.000  0.000
In  0.500  0.500  0.000
W  0.000  0.500  0.500
W  0.500  0.000  0.500

* spin magnetization: 0.000 μB per cell
* energy of formation from the pure elements: 33 kJ/mol of atoms

> Which value of spin magnetization does entry 4 give?

0.000 μB per cell

> Which value of spin magnetization does entry 6 give?

1.549 μB per cell